(1)
A relaxed PmThAgRu crystal, computed with PBE.

Cell: 7.2490 7.2490 7.2490 Å, 90.00 90.00 90.00°
With the nearest neighbours (Å) after each atom.
Space group F-43m (No. 216)
Unique sites:
Pm 0.0000 0.0000 0.0000 x4  4 Ag 3.14, 4 Ru 3.14
Th 0.0000 0.0000 0.5000 x4  4 Ru 3.14, 4 Ag 3.14
Ag 0.2500 0.2500 0.2500 x4  4 Th 3.14, 4 Pm 3.14
Ru 0.2500 0.2500 0.7500 x4  4 Th 3.14, 4 Pm 3.14

For the formation enthalpy at 0 K, the calculation gives -19 kJ per mole of atoms.

***

(2)
A relaxed Pm2ThSn crystal, computed with PBE.

Cell: 4.0681 4.0681 7.2670 Å, 90.00 90.00 90.00°
With the nearest neighbours (Å) after each atom.
Space group P4/mmm (No. 123)
Unique sites:
Pm 0.0000 0.0000 0.2207 x2  1 Pm 3.21, 4 Sn 3.29, 4 Th 3.52
Th 0.5000 0.5000 0.5000 x1  8 Pm 3.52, 2 Sn 3.63
Sn 0.5000 0.5000 0.0000 x1  8 Pm 3.29, 2 Th 3.63

For the formation enthalpy at 0 K, the calculation gives -30 kJ per mole of atoms. The energy above the most stable polymorph in this dataset is 29 kJ/mol of formula units.

***

(3)
A relaxed SrHoPd2 crystal, computed with PBE.

Cell: 7.1807 7.1807 7.1807 Å, 90.00 90.00 90.00°
With the nearest neighbours (Å) after each atom.
Space group Fm-3m (No. 225)
Unique sites:
Sr 0.0000 0.0000 0.0000 x4  8 Pd 3.11
Ho 0.0000 0.0000 0.5000 x4  8 Pd 3.11
Pd 0.2500 0.2500 0.2500 x8  4 Ho 3.11, 4 Sr 3.11

For the formation enthalpy at 0 K, the calculation gives -63 kJ per mole of atoms. The energy above the most stable polymorph in this dataset is 46 kJ/mol of formula units.

***

(4)
A relaxed DyPuAgGe crystal, computed with PBE.

Cell: 7.2241 7.2241 7.2241 Å, 90.00 90.00 90.00°
With the nearest neighbours (Å) after each atom.
Space group F-43m (No. 216)
Unique sites:
Dy 0.0000 0.0000 0.0000 x4  4 Ge 3.13, 4 Ag 3.13
Pu 0.0000 0.0000 0.5000 x4  4 Ge 3.13, 4 Ag 3.13
Ag 0.2500 0.2500 0.7500 x4  4 Dy 3.13, 4 Pu 3.13
Ge 0.2500 0.2500 0.2500 x4  4 Dy 3.13, 4 Pu 3.13

For the formation enthalpy at 0 K, the calculation gives -34 kJ per mole of atoms.

***

(5)
A relaxed Mg6Cd4F19 crystal, computed with PBE.

Cell: 9.2023 9.2023 9.2023 Å, 90.00 90.00 90.00°
With the nearest neighbours (Å) after each atom.
Space group I23 (No. 197)
Unique sites:
Mg 0.0000 0.3333 0.5000 x12  6 F 1.99-2.04
Cd 0.1481 0.1481 0.8519 x8  4 F 2.29-2.36
F 0.0000 0.0000 0.0000 x2  4 Cd 2.36
F 0.0000 0.0000 0.3543 x12  2 Mg 2.04
F 0.0378 0.3231 0.7132 x24  2 Mg 1.99-2.00

The value obtained for the electronic total energy is -4.5826 eV per atom.

***

(6)
A relaxed Li8Mg2Pd crystal, computed with PBE.

Cell: 13.1376 5.3675 6.1066 Å, 90.00 105.86 90.00°
With the nearest neighbours (Å) after each atom.
Space group C2/m (No. 12)
Unique sites:
Li 0.0649 0.2476 0.3659 x8  1 Pd 2.55, 4 Li 2.66-2.77
Li 0.1049 0.0000 0.9725 x4  6 Li 2.87-3.04, 3 Mg 2.94-3.02, 2 Pd 3.04
Li 0.2431 0.5000 0.3250 x4  5 Li 2.77-3.04, 1 Mg 2.98
Mg 0.1648 0.5000 0.8194 x4  1 Pd 2.69, 2 Li 2.94-2.98
Pd 0.0000 0.5000 0.0000 x2  4 Li 2.55, 2 Mg 2.69

For the formation enthalpy at 0 K, the calculation gives -9 kJ per mole of atoms. The energy above the most stable polymorph in this dataset is 0 kJ/mol of formula units.

***

(7)
A relaxed AcPm2Dy6 crystal, computed with PBE.

Cell: 8.7313 5.9466 12.7315 Å, 90.00 103.13 90.00°
With the nearest neighbours (Å) after each atom.
Space group P2_1/c (No. 14)
Unique sites:
Ac 0.0000 0.0000 0.0000 x2  8 Dy 3.43-3.84
Pm 0.4411 0.1643 0.1640 x4  7 Dy 3.37-3.66, 2 Pm 3.70
Dy 0.1341 0.7362 0.7604 x4  4 Dy 3.27-3.64, 1 Ac 3.55
Dy 0.2796 0.2053 0.8745 x4  5 Dy 3.27-3.64, 3 Pm 3.39-3.64, 1 Ac 3.43
Dy 0.3434 0.6581 0.0359 x4  4 Dy 3.33-3.60, 3 Pm 3.37-3.65, 1 Ac 3.57

For the formation enthalpy at 0 K, the calculation gives 25 kJ per mole of atoms. The energy above the most stable polymorph in this dataset is 0 kJ/mol of formula units.

***

(8)
A relaxed Ho6TmAl2 crystal, computed with PBE.

Cell: 12.4439 3.6364 11.6837 Å, 90.00 108.79 90.00°
With the nearest neighbours (Å) after each atom.
Space group C2/m (No. 12)
Unique sites:
Ho 0.0227 0.0000 0.3303 x4  2 Al 3.08, 3 Ho 3.41-3.44
Ho 0.1859 0.5000 0.8764 x4  2 Al 3.11, 5 Ho 3.35-3.44
Ho 0.1886 0.5000 0.5884 x4  2 Al 3.20, 8 Ho 3.38-3.57
Tm 0.0000 0.0000 0.0000 x2  4 Al 3.08
Al 0.1480 0.5000 0.2023 x4  6 Ho 3.08-3.20, 2 Tm 3.08

For the formation enthalpy at 0 K, the calculation gives -16 kJ per mole of atoms. The energy above the most stable polymorph in this dataset is 0 kJ/mol of formula units.

***

(9)
A relaxed LaPaSn2 crystal, computed with PBE.

Cell: 5.1080 5.1080 15.8260 Å, 90.00 90.00 120.00°
With the nearest neighbours (Å) after each atom.
Space group R-3m (No. 166, hexagonal axes)
Unique sites:
La 0.0000 0.0000 0.0000 x3  6 Sn 3.28
Pa 0.0000 0.0000 0.5000 x3  6 Sn 3.18
Sn 0.0000 0.0000 0.2425 x6  3 Pa 3.18, 3 La 3.28

For the formation enthalpy at 0 K, the calculation gives -30 kJ per mole of atoms. The energy above the most stable polymorph in this dataset is 48 kJ/mol of formula units.

***

(10)
A relaxed BaTa2Cu crystal, computed with PBE.

Cell: 3.0822 5.8248 10.3821 Å, 90.00 90.00 90.00°
With the nearest neighbours (Å) after each atom.
Space group Imm2 (No. 44)
Unique sites:
Ba 0.0000 0.0000 0.0000 x2  2 Ba 3.08, 2 Cu 3.26, 4 Ta 3.30
Ta 0.0000 0.0000 0.4875 x2  2 Cu 2.68, 2 Ta 2.69
Ta 0.0000 0.5000 0.1997 x2  2 Ta 2.69
Cu 0.0000 0.5000 0.7767 x2  2 Ta 2.68

For the formation enthalpy at 0 K, the calculation gives 100 kJ per mole of atoms. The energy above the most stable polymorph in this dataset is 205 kJ/mol of formula units.

***

(11)
A relaxed Cs2CrCu2Te4 crystal, computed with PBE.

Cell: 15.8392 4.1741 8.8420 Å, 90.00 108.24 90.00°
With the nearest neighbours (Å) after each atom.
Space group C2/m (No. 12)
Unique sites:
Cs 0.1327 0.0000 0.0637 x4  7 Te 3.78-4.01, 3 Cs 4.00-4.17, 3 Cu 4.05-4.13
Cr 0.0000 0.0000 0.5000 x2  6 Te 2.79-2.81
Cu 0.1953 0.5000 0.4869 x4  4 Te 2.64-2.70, 2 Cu 2.68
Te 0.0229 0.5000 0.3068 x4  1 Cu 2.70, 2 Cr 2.79
Te 0.1836 0.0000 0.6617 x4  3 Cu 2.64, 1 Cr 2.81

The value obtained for the electronic total energy is -4.0350 eV per atom.

***

(12)
A relaxed Mg4Si3 crystal, computed with PBE.

Cell: 5.6541 7.0000 8.1406 Å, 111.40 102.84 101.24°
With the nearest neighbours (Å) after each atom.
Space group P1 (No. 1)
Unique sites:
Mg 0.0000 0.0000 0.0000 x1  5 Si 2.66-2.94
Mg 0.0135 0.7633 0.5474 x1  5 Si 2.77-2.92, 2 Mg 3.07-3.09
Mg 0.3142 0.6708 0.8575 x1  5 Si 2.81-2.95, 2 Mg 2.99-3.07
Mg 0.3581 0.8032 0.3084 x1  4 Si 2.65-2.70
Mg 0.4487 0.3749 0.3783 x1  6 Si 2.78-2.96
Mg 0.5042 0.1723 0.9048 x1  4 Si 2.71-2.87, 1 Mg 3.02
Mg 0.7704 0.6505 0.1127 x1  4 Si 2.68-2.87, 1 Mg 2.99
Mg 0.8590 0.2000 0.6546 x1  4 Si 2.66-2.86
Si 0.0664 0.0652 0.3871 x1  1 Si 2.47, 2 Mg 2.66-2.70
Si 0.1899 0.4002 0.0313 x1  1 Si 2.52, 4 Mg 2.69-2.82
Si 0.5573 0.8231 0.6433 x1  1 Si 2.51, 3 Mg 2.65-2.81
Si 0.6470 0.0475 0.2003 x1  2 Si 2.42-2.47, 1 Mg 2.65
Si 0.7677 0.5910 0.7574 x1  1 Si 2.51, 3 Mg 2.66-2.76
Si 0.9295 0.3808 0.2421 x1  2 Si 2.42-2.52, 1 Mg 2.68

The energy above the most stable polymorph in this dataset is 44 kJ/mol of formula units.

***

(13)
A relaxed PrSm3Dy6Tm2 crystal, computed with PBE.

Cell: 6.1798 10.6961 11.8262 Å, 90.00 99.99 90.00°
With the nearest neighbours (Å) after each atom.
Space group C2/m (No. 12)
Unique sites:
Pr 0.0000 0.0000 0.0000 x2  6 Dy 3.55-3.56, 6 Tm 3.56-3.57
Sm 0.0000 0.1669 0.5000 x4  6 Sm 3.56-3.57, 6 Dy 3.58-3.59
Sm 0.0000 0.5000 0.5000 x2  6 Sm 3.56-3.57, 6 Dy 3.58
Dy 0.2483 0.5000 0.2484 x4  2 Tm 3.55, 1 Pr 3.55, 6 Dy 3.56-3.58, 3 Sm 3.58-3.59
Dy 0.2502 0.1672 0.2485 x8  2 Tm 3.55, 1 Pr 3.56, 6 Dy 3.56-3.58, 3 Sm 3.58
Tm 0.0000 0.3332 0.0000 x4  6 Dy 3.55, 3 Pr 3.56-3.57, 3 Tm 3.57

For the formation enthalpy at 0 K, the calculation gives 2 kJ per mole of atoms.

***

(14)
A relaxed NdTmPI crystal, computed with PBE.

Cell: 4.0961 4.0961 22.5422 Å, 90.00 90.00 120.00°
With the nearest neighbours (Å) after each atom.
Space group R3m (No. 160, hexagonal axes)
Unique sites:
Nd 0.0000 0.0000 0.0000 x3  3 P 2.86
Tm 0.0000 0.0000 0.7945 x3  3 P 2.68
P 0.0000 0.0000 0.4049 x3  3 Tm 2.68, 3 Nd 2.86
I 0.0000 0.0000 0.2260 x3  3 Tm 3.24, 3 Nd 3.38

The value obtained for the electronic total energy is -5.3589 eV per atom.

***

(15)
A relaxed CaPbW crystal, computed with PBE.

Cell: 3.9562 4.8482 14.5797 Å, 90.00 90.00 90.00°
With the nearest neighbours (Å) after each atom.
Space group Fmm2 (No. 42)
Unique sites:
Ca 0.0000 0.0000 0.0000 x4  4 W 3.08-3.39, 4 Ca 3.13, 2 Pb 3.41
Pb 0.0000 0.0000 0.3099 x4  4 W 2.92-3.24, 4 Pb 3.13
W 0.0000 0.0000 0.6623 x4  4 Pb 2.92-3.24, 2 Ca 3.08, 4 W 3.13

For the formation enthalpy at 0 K, the calculation gives 65 kJ per mole of atoms. The energy above the most stable polymorph in this dataset is 0 kJ/mol of formula units.

***

(16)
A relaxed Si3Br crystal, computed with PBE.

Cell: 4.2110 4.2110 4.2110 Å, 90.00 90.00 90.00°
With the nearest neighbours (Å) after each atom.
Space group Pm-3m (No. 221)
Unique sites:
Si 0.0000 0.0000 0.5000 x3  4 Br 2.98, 8 Si 2.98
Br 0.5000 0.5000 0.5000 x1  12 Si 2.98

The energy above the most stable polymorph in this dataset is 273 kJ/mol of formula units.

***

(17)
A relaxed Rb2In2HgBr6 crystal, computed with PBE.

Cell: 8.1535 8.7014 9.2790 Å, 63.96 75.66 67.66°
With the nearest neighbours (Å) after each atom.
Space group P-1 (No. 2)
Unique sites:
Rb 0.2231 0.4227 0.2193 x2  6 Br 3.46-3.78
In 0.1375 0.9558 0.8881 x2  3 Br 2.60-2.61, 1 In 2.78
Hg 0.5000 0.5000 0.5000 x1  6 Br 3.78-4.12, 2 Rb 4.24
Br 0.1235 0.7216 0.7912 x2  1 In 2.61
Br 0.1651 0.2461 0.6416 x2  1 In 2.60
Br 0.4402 0.7758 0.0146 x2  1 In 2.61

The value obtained for the electronic total energy is -2.6651 eV per atom.

***

(18)
A relaxed AuSe2Br crystal, computed with PBE.

Cell: 6.2907 7.7288 4.9717 Å, 90.00 128.91 90.00°
With the nearest neighbours (Å) after each atom.
Space group C2/m (No. 12)
Unique sites:
Au 0.0000 0.0000 0.0000 x2  4 Se 2.73
Se 0.2500 0.2500 0.5000 x4  2 Br 2.73, 2 Au 2.73
Br 0.0000 0.5000 0.0000 x2  4 Se 2.73

The value obtained for the electronic total energy is -2.7162 eV per atom.

***

(19)
A relaxed K2ZrCu crystal, computed with PBE.

Cell: 8.2907 8.2907 8.2907 Å, 90.00 90.00 90.00°
With the nearest neighbours (Å) after each atom.
Space group Fm-3m (No. 225)
Unique sites:
K 0.2500 0.2500 0.2500 x8  4 Zr 3.59, 4 Cu 3.59
Zr 0.0000 0.0000 0.0000 x4  8 K 3.59
Cu 0.0000 0.0000 0.5000 x4  8 K 3.59

For the formation enthalpy at 0 K, the calculation gives 125 kJ per mole of atoms. The energy above the most stable polymorph in this dataset is 343 kJ/mol of formula units.

***

(20)
A relaxed La2YErSe4 crystal, computed with PBE.

Cell: 7.1723 4.1156 7.4178 Å, 90.00 108.63 90.00°
With the nearest neighbours (Å) after each atom.
Space group P2/m (No. 10)
Unique sites:
La 0.0000 0.0000 0.0000 x1  6 Se 3.06
La 0.5000 0.5000 0.0000 x1  6 Se 3.04
Y 0.0000 0.5000 0.5000 x1  6 Se 2.88-2.89
Er 0.5000 0.0000 0.5000 x1  6 Se 2.87
Se 0.2454 0.0000 0.7299 x2  1 Er 2.87, 2 Y 2.88, 3 La 3.04-3.06
Se 0.2597 0.5000 0.2717 x2  2 Er 2.87, 1 Y 2.89, 3 La 3.04-3.06

The value obtained for the electronic total energy is -6.2254 eV per atom.